(1)
Material: NpMnMoC3
Method: DFT, PBE
State: relaxed

```
NpMnMoC3
1.0
3.1065 0.0000 0.0000
0.0000 6.6477 0.4814
0.0000 -2.0705 7.0220
Np Mn Mo C
2 2 2 6
Cartesian
2.3298 3.8122 6.0011
0.7766 0.7650 1.5022
0.7766 -0.4820 4.2873
2.3298 5.0592 3.2161
0.7766 4.0488 1.2336
2.3298 0.5284 6.2697
0.7766 4.3673 3.9875
2.3298 5.5873 1.3614
2.3298 2.5179 1.3585
2.3298 0.2098 3.5159
0.7766 2.0593 6.1448
0.7766 -1.0102 6.1419
```

Properties
The value obtained for the magnetic moment is 2.36 μB per formula unit. As for the crystal system: monoclinic. Its energy is -10.00 eV per atom. The value obtained for the formation enthalpy at 0 K is 58 kJ/mol of formula units.



(2)
Material: MnMo2OsC
Method: DFT, PBE
State: relaxed

```
MnMo2OsC
1.0
4.1134 0.0000 0.0000
0.0000 4.1134 0.0000
0.0000 0.0000 3.8308
Mo Mn Os C
2 1 1 1
Cartesian
0.0000 2.0567 0.0000
2.0567 0.0000 0.0000
0.0000 0.0000 1.9154
2.0567 2.0567 1.9154
0.0000 0.0000 0.0000
```

Properties
The value obtained for the magnetic moment is 0.85 μB per formula unit. As for the crystal system: tetragonal. Its energy is -10.14 eV per atom. The value obtained for the formation enthalpy at 0 K is 57 kJ/mol of formula units.